A plane-wave DFT calculation with PBE was carried out for a relaxed Er3Si3Ir2 crystal.

Values from the calculation:
uncorrected formation energy	-1.0145	eV per atom
distance to the lowest polymorph of the same formula	0.0	meV per atom
total moment	0.000	μB per atom

Cell lengths 4.2234, 5.5778, 13.8990 Å; angles 90.00, 90.00, 112.25 degrees
Element x y z (fractional)
1 Er 0.9167 0.8333 0.1123
2 Er 0.3620 0.7240 0.7500
3 Er 0.0833 0.1667 0.6123
4 Er 0.6380 0.2760 0.2500
5 Er 0.0833 0.1667 0.8877
6 Er 0.9167 0.8333 0.3877
7 Si 0.6191 0.2381 0.4644
8 Si 0.3347 0.6694 0.2500
9 Si 0.6191 0.2381 0.0356
10 Si 0.3809 0.7619 0.9644
11 Si 0.3809 0.7619 0.5356
12 Si 0.6653 0.3306 0.7500
13 Ir 0.2017 0.4035 0.4029
14 Ir 0.2017 0.4035 0.0971
15 Ir 0.7983 0.5965 0.5971
16 Ir 0.7983 0.5965 0.9029